[1]
A geometry-optimized MnAl2SnPb structure. Source: the Alexandria database, functional GGA-PBEsol.

a = 4.6845 Å, b = 4.6845 Å, c = 4.9063 Å
α = 90.00°, β = 90.00°, γ = 90.00°
Last column: nearest neighbours and their distance in Å.
Fractional coordinates of all 5 atoms:
Pb  0.5000  0.5000  0.5000  4 Sn 3.31, 8 Al 3.39
Mn  0.0000  0.0000  0.0000  4 Al 2.34, 2 Sn 2.45
Sn  0.0000  0.0000  0.5000  2 Mn 2.45
Al  0.0000  0.5000  0.0000  2 Mn 2.34
Al  0.5000  0.0000  0.0000  2 Mn 2.34

Values from the calculation:
Its density of states at the Fermi level is 3.21 states/eV/f.u. Its formation energy is 0.285 eV/atom.

***

[2]
A geometry-optimized Tc2MoOs structure. Source: the Alexandria database, functional GGA-PBEsol.

a = 3.8442 Å, b = 3.8442 Å, c = 4.7398 Å
α = 113.92°, β = 113.92°, γ = 90.00°
Last column: nearest neighbours and their distance in Å.
Fractional coordinates of all 4 atoms:
Mo  0.5000  0.5000  0.0000  4 Os 2.72, 8 Tc 2.73
Os  0.0000  0.0000  0.0000  4 Mo 2.72, 8 Tc 2.73
Tc  0.7500  0.2500  0.5000  4 Tc 2.72, 4 Os 2.73, 4 Mo 2.73
Tc  0.2500  0.7500  0.5000  4 Tc 2.72, 4 Mo 2.73, 4 Os 2.73

Values from the calculation:
The energy above the most stable polymorph in this dataset is 0.0 meV/atom. Its density of states at the Fermi level is 4.27 states/eV/f.u. Its formation energy is 0.093 eV/atom.

***

[3]
A geometry-optimized Sr3HAu structure. Source: the Alexandria database, functional GGA-PBEsol.

a = 5.1299 Å, b = 5.1299 Å, c = 5.1299 Å
α = 90.00°, β = 90.00°, γ = 90.00°
Last column: nearest neighbours and their distance in Å.
Fractional coordinates of all 5 atoms:
Sr  0.0000  0.5000  0.0000  2 H 2.56
Sr  0.0000  0.0000  0.5000  2 H 2.56
Sr  0.5000  0.0000  0.0000  2 H 2.56
Au  0.5000  0.5000  0.5000  12 Sr 3.63
H  0.0000  0.0000  0.0000  6 Sr 2.56

Values from the calculation:
The energy above the most stable polymorph in this dataset is 0.0 meV/atom. Its density of states at the Fermi level is 2.05 states/eV/f.u.

***

[4]
A geometry-optimized TiZnF2 structure. Source: the Alexandria database, functional GGA-PBEsol.

a = 4.1208 Å, b = 4.1208 Å, c = 4.1208 Å
α = 60.00°, β = 60.00°, γ = 60.00°
Last column: nearest neighbours and their distance in Å.
Fractional coordinates of all 4 atoms:
Zn  0.5000  0.5000  0.5000  8 F 2.52
F  0.2500  0.2500  0.2500  4 Zn 2.52, 4 Ti 2.52
F  0.7500  0.7500  0.7500  4 Ti 2.52, 4 Zn 2.52
Ti  0.0000  0.0000  0.0000  8 F 2.52

Values from the calculation:
Its density of states at the Fermi level is 1.99 states/eV/f.u. The calculation puts the raw formation energy at -1200 meV/atom.

***

[5]
A geometry-optimized ScAlB2Sb structure. Source: the Alexandria database, functional GGA-PBEsol.

a = 4.1274 Å, b = 4.1274 Å, c = 5.4226 Å
α = 90.00°, β = 90.00°, γ = 90.00°
Last column: nearest neighbours and their distance in Å.
Fractional coordinates of all 5 atoms:
Sc  0.5000  0.5000  0.5000  4 Sb 2.92
Sb  0.0000  0.0000  0.5000  2 Al 2.71, 4 Sc 2.92
B  0.0000  0.5000  0.0000  2 Al 2.06
B  0.5000  0.0000  0.0000  2 Al 2.06
Al  0.0000  0.0000  0.0000  4 B 2.06

Values from the calculation:
Its density of states at the Fermi level is 2.50 states/eV/f.u. The calculation puts the raw formation energy at 943 meV/atom.

***

[6]
A geometry-optimized SiPt2W structure. Source: the Alexandria database, functional GGA-PBEsol.

a = 3.6317 Å, b = 3.8466 Å, c = 4.1668 Å
α = 90.00°, β = 90.00°, γ = 90.00°
Last column: nearest neighbours and their distance in Å.
Fractional coordinates of all 4 atoms:
Pt  0.0000  0.0000  0.0000  4 Pt 2.65, 4 Si 2.76, 4 W 2.84
Pt  0.5000  0.5000  0.0000  4 Pt 2.65, 4 W 2.76, 4 Si 2.84
Si  0.5000  0.0000  0.5000  4 W 2.65, 8 Pt 2.76-2.84
W  0.0000  0.5000  0.5000  4 Si 2.65, 8 Pt 2.76-2.84

Values from the calculation:
Its density of states at the Fermi level is 2.23 states/eV/f.u. The calculation puts the raw formation energy at -143 meV/atom.

***

[7]
A geometry-optimized TiAsPd structure. Source: the Alexandria database, functional GGA-PBEsol.

a = 3.7684 Å, b = 6.4974 Å, c = 6.4974 Å
α = 120.00°, β = 90.00°, γ = 90.00°
Last column: nearest neighbours and their distance in Å.
Fractional coordinates of all 9 atoms:
As  0.5000  0.0000  0.0000  6 Pd 2.54, 3 Ti 2.64
As  0.0000  0.3333  0.6667  3 Pd 2.43
As  0.0000  0.6667  0.3333  3 Pd 2.43
Pd  0.0000  0.2615  0.2615  4 As 2.43-2.54
Pd  0.0000  0.0000  0.7385  4 As 2.43-2.54
Pd  0.0000  0.7385  0.0000  4 As 2.43-2.54
Ti  0.5000  0.4057  0.0000  5 As 2.64-2.73, 2 Pd 2.87
Ti  0.5000  0.0000  0.4057  5 As 2.64-2.73, 2 Pd 2.87
Ti  0.5000  0.5943  0.5943  5 As 2.64-2.73, 2 Pd 2.87

Values from the calculation:
Its density of states at the Fermi level is 2.81 states/eV/f.u. Its formation energy is -0.775 eV/atom.

***

[8]
A geometry-optimized La5Ru3 structure. Source: the Alexandria database, functional GGA-PBEsol.

a = 6.7884 Å, b = 8.1747 Å, c = 8.1747 Å
α = 120.00°, β = 90.00°, γ = 90.00°
Last column: nearest neighbours and their distance in Å.
Fractional coordinates of all 16 atoms:
La  0.7500  0.2478  0.2478  3 Ru 2.74-3.03
La  0.2500  0.7522  0.7522  3 Ru 2.74-3.03
La  0.7500  0.7522  0.0000  3 Ru 2.74-3.03
La  0.2500  0.0000  0.2478  3 Ru 2.74-3.03
La  0.0000  0.3333  0.6667  6 Ru 3.06, 2 La 3.39
La  0.5000  0.3333  0.6667  6 Ru 3.06, 2 La 3.39
La  0.0000  0.6667  0.3333  6 Ru 3.06, 2 La 3.39
La  0.5000  0.6667  0.3333  6 Ru 3.06, 2 La 3.39
La  0.2500  0.2478  0.0000  3 Ru 2.74-3.03
La  0.7500  0.0000  0.7522  3 Ru 2.74-3.03
Ru  0.2500  0.3817  0.3817  7 La 2.74-3.06
Ru  0.7500  0.6183  0.6183  7 La 2.74-3.06
Ru  0.2500  0.6183  0.0000  7 La 2.74-3.06
Ru  0.7500  0.0000  0.3817  7 La 2.74-3.06
Ru  0.7500  0.3817  0.0000  7 La 2.74-3.06
Ru  0.2500  0.0000  0.6183  7 La 2.74-3.06

Values from the calculation:
The energy above the most stable polymorph in this dataset is 0.0 meV/atom. Its density of states at the Fermi level is 7.13 states/eV/f.u. Its formation energy is -0.172 eV/atom.

***

[9]
A geometry-optimized ZrTc2Ru structure. Source: the Alexandria database, functional GGA-PBEsol.

a = 3.1247 Å, b = 3.1247 Å, c = 6.3325 Å
α = 90.00°, β = 90.00°, γ = 90.00°
Last column: nearest neighbours and their distance in Å.
Fractional coordinates of all 4 atoms:
Ru  0.5000  0.5000  0.7481  4 Zr 2.69, 4 Tc 2.78
Tc  0.0000  0.0000  0.0145  4 Tc 2.60, 4 Ru 2.78
Tc  0.5000  0.5000  0.2314  4 Tc 2.60, 4 Zr 2.81
Zr  0.0000  0.0000  0.5060  4 Ru 2.69, 4 Tc 2.81

Values from the calculation:
The energy above the most stable polymorph in this dataset is 0.0 meV/atom. Its density of states at the Fermi level is 4.55 states/eV/f.u. Its formation energy is -0.012 eV/atom.

***

[10]
A geometry-optimized NiPb2Se structure. Source: the Alexandria database, functional GGA-PBEsol.

a = 3.7932 Å, b = 5.1435 Å, c = 5.4219 Å
α = 121.15°, β = 90.00°, γ = 90.00°
Last column: nearest neighbours and their distance in Å.
Fractional coordinates of all 4 atoms:
Ni  0.5000  0.4575  0.7296  2 Se 2.35
Pb  0.0000  0.8754  0.9378  2 Ni 2.64, 1 Se 2.95
Pb  0.5000  0.5252  0.2629  2 Ni 2.73
Se  0.0000  0.1419  0.5697  2 Ni 2.35

Values from the calculation:
Its density of states at the Fermi level is 2.32 states/eV/f.u. The calculation puts the raw formation energy at -84 meV/atom.

***

[11]
A geometry-optimized Tl2FePtBr structure. Source: the Alexandria database, functional GGA-PBEsol.

a = 4.4160 Å, b = 5.1650 Å, c = 5.1650 Å
α = 90.00°, β = 90.00°, γ = 90.00°
Last column: nearest neighbours and their distance in Å.
Fractional coordinates of all 5 atoms:
Tl  0.0000  0.0000  0.5000  2 Fe 2.58
Tl  0.0000  0.5000  0.0000  2 Fe 2.58
Br  0.5000  0.5000  0.5000  8 Tl 3.40, 4 Pt 3.65
Pt  0.5000  0.0000  0.0000  2 Fe 2.21
Fe  0.0000  0.0000  0.0000  2 Pt 2.21

Values from the calculation:
Its density of states at the Fermi level is 4.55 states/eV/f.u. The calculation puts the raw formation energy at 406 meV/atom.

***

[12]
A geometry-optimized MnTl2Au structure. Source: the Alexandria database, functional GGA-PBEsol.

a = 3.3912 Å, b = 4.7916 Å, c = 5.8109 Å
α = 101.36°, β = 90.00°, γ = 110.72°
Last column: nearest neighbours and their distance in Å.
Fractional coordinates of all 4 atoms:
Au  0.4884  0.9769  0.4576  3 Mn 2.68-2.82, 3 Tl 2.93-2.97
Mn  0.7605  0.5210  0.2874  3 Au 2.68-2.82, 3 Tl 2.91-2.94
Tl  0.0096  0.0192  0.0381  3 Mn 2.91-2.94, 2 Au 3.01, 3 Tl 3.07-3.20
Tl  0.2415  0.4830  0.7168  3 Au 2.93-2.97, 2 Mn 3.05, 3 Tl 3.07-3.20

Values from the calculation:
The energy above the most stable polymorph in this dataset is 90.3 meV/atom. Its density of states at the Fermi level is 1.78 states/eV/f.u. Its formation energy is 0.296 eV/atom.

***

[13]
A geometry-optimized CsSr2Tl2 structure. Source: the Alexandria database, functional GGA-PBEsol.

a = 6.1439 Å, b = 6.1439 Å, c = 7.1052 Å
α = 115.62°, β = 115.62°, γ = 90.00°
Last column: nearest neighbours and their distance in Å.
Fractional coordinates of all 5 atoms:
Cs  0.0000  0.0000  0.0000  8 Sr 4.16, 10 Tl 4.22-4.57
Sr  0.2500  0.7500  0.5000  4 Tl 3.38
Sr  0.7500  0.2500  0.5000  4 Tl 3.38
Tl  0.3751  0.3751  0.7503  1 Tl 2.81
Tl  0.6249  0.6249  0.2497  1 Tl 2.81

Values from the calculation:
The energy above the most stable polymorph in this dataset is 0.0 meV/atom. Its density of states at the Fermi level is 2.37 states/eV/f.u. Its formation energy is -0.163 eV/atom.